{
  "formula": "Mg6Cd3In2",
  "functional": "GGA-PBE",
  "state": "optimized geometry",
  "lattice": [[-0.537, 0.427, 4.565], [4.353, -1.396, 0.642], [2.235, 13.090, -3.295]],
  "species": ["Cd", "Cd", "Cd", "Mg", "Mg", "Mg", "Mg", "Mg", "Mg", "In", "In"],
  "fractional_positions": [[0.137, 0.137, 0.274], [0.000, 0.000, 0.000], [0.863, 0.863, 0.726], [0.064, 0.564, 0.128], [0.758, 0.758, 0.516], [0.242, 0.242, 0.484], [0.564, 0.064, 0.128], [0.936, 0.436, 0.872], [0.436, 0.936, 0.872], [0.351, 0.351, 0.703], [0.649, 0.649, 0.297]],
  "formation_energy_ev_per_atom": 0.08,
  "space_group": "I4/mmm",
  "total_energy_ev_per_atom": -1.539
}

---

{
  "formula": "Mg2CdIn",
  "functional": "GGA-PBE",
  "state": "optimized geometry",
  "lattice": [[5.219, 0.000, 0.000], [0.000, 3.273, -0.003], [0.000, 0.008, 5.284]],
  "species": ["In", "Mg", "Mg", "Cd"],
  "fractional_positions": [[0.500, 0.626, 0.817], [0.000, 0.124, 0.936], [0.500, 0.125, 0.316], [0.000, 0.625, 0.431]],
  "formation_energy_ev_per_atom": -0.09,
  "space_group": "Pmm2",
  "total_energy_ev_per_atom": -1.805
}